# 1
Material: Sm6Y2Tm3Sc
Method: DFT, PBE
State: relaxed

Cell lengths 6.1712, 10.6849, 11.6694 Å; angles 90.00, 100.12, 90.00 degrees
Last column: nearest neighbours and their distance in Å.
Space group C2/m (No. 12)
Asymmetric unit:
Sm: 0.2473 0.0000 0.2503 [4 per cell]  1 Sc 3.52, 6 Sm 3.53-3.58, 3 Tm 3.53-3.54, 2 Y 3.54
Sm: 0.2478 0.1650 0.7497 [8 per cell]  1 Sc 3.52, 6 Sm 3.53-3.58, 3 Tm 3.53-3.55, 2 Y 3.53-3.54
Y: 0.0000 0.3333 0.5000 [4 per cell]  6 Sm 3.53-3.54, 3 Sc 3.56, 3 Y 3.56
Tm: 0.0000 0.1666 0.0000 [4 per cell]  6 Sm 3.53-3.55, 6 Tm 3.56
Tm: 0.0000 0.5000 0.0000 [2 per cell]  6 Sm 3.53-3.54, 6 Tm 3.56
Sc: 0.0000 0.0000 0.5000 [2 per cell]  6 Sm 3.52, 6 Y 3.56

Output
The value obtained for the calculated formation energy is 0.03 eV/atom. The calculation puts the magnetization at 0.000 μB/atom. The total energy comes out at -5.057 eV/atom.


# 2
Material: SmYTm2Sc2
Method: DFT, PBE
State: relaxed

Cell lengths 6.2952, 17.2192, 3.3278 Å; angles 90.00, 90.00, 90.00 degrees
Last column: nearest neighbours and their distance in Å.
Space group Pnnm (No. 58)
Asymmetric unit:
Sm: 0.0000 0.0000 0.0000 [2 per cell]  2 Sm 3.33, 4 Sc 3.36, 4 Y 3.56
Y: 0.0000 0.5000 0.0000 [2 per cell]  2 Sc 3.08, 2 Y 3.33
Tm: 0.2268 0.3103 0.0000 [4 per cell]  4 Sc 3.22-3.26, 2 Tm 3.33, 1 Y 3.56
Sc: 0.2259 0.1478 0.5000 [4 per cell]  1 Y 3.08, 4 Tm 3.22-3.26, 2 Sc 3.33, 2 Sm 3.36

Output
The value obtained for the calculated formation energy is 0.29 eV/atom. The calculation puts the magnetization at 0.000 μB/atom. The total energy comes out at -5.178 eV/atom.


# 3
Material: Sm5Y2TmSc
Method: DFT, PBE
State: relaxed

Cell lengths 5.3356, 21.8484, 10.1177 Å; angles 90.00, 90.00, 90.00 degrees
Last column: nearest neighbours and their distance in Å.
Space group Cmc2_1 (No. 36)
Asymmetric unit:
Sm: 0.0000 0.9999 0.0000 [4 per cell]  2 Tm 3.36, 6 Sm 3.68-3.73, 4 Y 3.68
Sm: 0.0000 0.1256 0.2502 [4 per cell]  1 Sc 3.47, 4 Y 3.69, 6 Sm 3.73-3.82
Sm: 0.0000 0.2211 0.5632 [4 per cell]  2 Sm 3.21, 1 Tm 3.23, 3 Sc 3.28-3.45, 2 Y 3.57
Sm: 0.0000 0.2208 0.9379 [4 per cell]  2 Sm 3.21, 1 Tm 3.23, 3 Sc 3.27-3.46, 2 Y 3.57
Sm: 0.0000 0.4992 0.7501 [4 per cell]  2 Tm 3.47, 4 Y 3.57-3.59, 6 Sm 3.68-3.82
Y: 0.0000 0.3838 0.0010 [4 per cell]  1 Sc 3.33, 9 Sm 3.57-3.69, 2 Tm 3.69
Y: 0.0000 0.3841 0.4992 [4 per cell]  1 Sc 3.33, 9 Sm 3.57-3.69, 2 Tm 3.68
Tm: 0.0000 0.1010 0.7501 [4 per cell]  6 Sm 3.23-3.47
Sc: 0.0000 0.2844 0.2506 [4 per cell]  7 Sm 3.27-3.47, 2 Y 3.33, 2 Tm 3.66

Output
The value obtained for the calculated formation energy is 0.13 eV/atom. The calculation puts the magnetization at 0.000 μB/atom. The total energy comes out at -5.132 eV/atom.


# 4
Material: SmY3Tm6Sc2
Method: DFT, PBE
State: relaxed

Cell lengths 6.0337, 10.4394, 11.5583 Å; angles 90.00, 99.99, 90.00 degrees
Last column: nearest neighbours and their distance in Å.
Space group C2/m (No. 12)
Asymmetric unit:
Sm: 0.0000 0.0000 0.0000 [2 per cell]  6 Tm 3.44, 6 Sc 3.48
Y: 0.0000 0.1672 0.5000 [4 per cell]  6 Y 3.47-3.49, 6 Tm 3.52-3.54
Y: 0.0000 0.5000 0.5000 [2 per cell]  6 Y 3.47-3.49, 6 Tm 3.53-3.54
Tm: 0.2466 0.5000 0.2447 [4 per cell]  2 Sc 3.43, 1 Sm 3.44, 6 Tm 3.47-3.51, 3 Y 3.53-3.54
Tm: 0.2501 0.1677 0.2447 [8 per cell]  2 Sc 3.43, 1 Sm 3.44, 6 Tm 3.47-3.51, 3 Y 3.52-3.54
Sc: 0.0000 0.3333 0.0000 [4 per cell]  6 Tm 3.43, 3 Sm 3.48, 3 Sc 3.48

Output
The value obtained for the calculated formation energy is 0.04 eV/atom. The calculation puts the magnetization at 0.000 μB/atom. The total energy comes out at -5.257 eV/atom.


# 5
Material: Sm2YTm5Sc
Method: DFT, PBE
State: relaxed

Cell lengths 8.4938, 8.4938, 15.3075 Å; angles 90.00, 90.00, 90.00 degrees
Last column: nearest neighbours and their distance in Å.
Space group I4/mcm (No. 140)
Asymmetric unit:
Sm: 0.1187 0.3813 0.0000 [8 per cell]  1 Sm 2.85, 2 Tm 3.00
Y: 0.0000 0.0000 0.2500 [4 per cell]  10 Tm 3.47-3.83
Tm: 0.0000 0.0000 0.0000 [4 per cell]  4 Sm 3.39, 8 Tm 3.73
Tm: 0.2076 0.2924 0.3588 [16 per cell]  1 Sc 3.00, 1 Sm 3.00
Sc: 0.0000 0.5000 0.2500 [4 per cell]  4 Tm 3.00

Output
The value obtained for the calculated formation energy is 0.28 eV/atom. The calculation puts the magnetization at 0.000 μB/atom. The total energy comes out at -4.675 eV/atom.


# 6
Material: Sm2YTm2Sc2
Method: DFT, PBE
State: relaxed

Cell lengths 11.3628, 3.4172, 11.5011 Å; angles 90.00, 108.59, 90.00 degrees
Last column: nearest neighbours and their distance in Å.
Space group C2/m (No. 12)
Asymmetric unit:
Sm: 0.1732 0.0000 0.0897 [4 per cell]  4 Tm 3.38-3.52, 4 Sm 3.42-3.54, 2 Sc 3.50
Y: 0.0000 0.5000 0.5000 [2 per cell]  6 Sc 3.39-3.44, 2 Y 3.42, 4 Tm 3.43
Tm: 0.0463 0.0000 0.7691 [4 per cell]  4 Sm 3.38-3.52, 3 Sc 3.41-3.46, 2 Tm 3.42, 2 Y 3.43
Sc: 0.2277 0.5000 0.3677 [4 per cell]  4 Sc 3.38-3.42, 3 Y 3.39-3.44, 3 Tm 3.41-3.46, 2 Sm 3.50

Output
The value obtained for the calculated formation energy is 0.11 eV/atom. The calculation puts the magnetization at 0.000 μB/atom. The total energy comes out at -5.246 eV/atom.